Computed, not measured: a relaxed structure of CuWO4 at the PBE with a Hubbard U level of DFT.

```
12
Lattice="5.050 0.000 0.000 1.811 5.754 0.000 1.138 2.507 5.872" Properties=species:S:1:pos:R:3 pbc="T T T"
Cu 0.885 2.038 1.583
Cu 7.114 6.223 4.289
W 2.412 2.880 4.865
W 5.587 5.382 1.008
O 3.128 7.041 5.778
O 1.682 2.301 3.301
O 2.956 4.534 4.355
O 2.131 0.619 0.984
O 5.868 7.643 4.888
O 5.044 3.727 1.517
O 6.317 5.961 2.571
O 4.871 1.220 0.094
```

Values from the calculation:
E above lowest polymorph: 34 meV/atom
total moment: 1.0 μB/f.u.